AlAsSeN2 after structural relaxation, computed with PBE.

```
5
Lattice="3.6873 0.0000 0.0000 0.0000 3.6873 0.0000 0.0000 0.0000 6.3622" Properties=species:S:1:pos:R:3 pbc="T T T"
N 1.8436 0.0000 0.0000
N 0.0000 1.8436 0.0000
As 0.0000 0.0000 0.0000
Al 1.8436 1.8436 3.1811
Se 0.0000 0.0000 3.1811
```

The energy above the most stable polymorph in this dataset comes out at 1.03 eV per formula unit. Its crystal system is tetragonal. The uncorrected formation energy comes out at 1027 meV per atom.